i.
DyHfAg | PBE | relaxed

Structure (POSCAR):
```
DyHfAg
1.0
-2.537 1.908 1.086
-2.187 -0.256 -4.658
-2.760 -7.597 1.714
Ag Dy Hf
2 2 2
direct
0.574 0.750 0.148
0.426 0.250 0.852
0.094 0.250 0.189
0.906 0.750 0.811
0.228 0.750 0.457
0.772 0.250 0.543
```

Output
Its crystal system is orthorhombic. As for the space group: Cmcm (63). For the spin magnetization, the calculation gives 0.00 μB per formula unit.


ii.
DyHfAg | PBE | relaxed

Structure (POSCAR):
```
DyHfAg
1.0
-1.916 -1.810 -2.076
0.947 -2.808 1.574
-4.308 2.889 4.170
Dy Ag Hf
1 1 1
direct
0.999 0.999 0.999
0.322 0.322 0.643
0.679 0.679 0.358
```

Output
Its crystal system is tetragonal. As for the space group: I4mm (107). For the spin magnetization, the calculation gives 0.00 μB per formula unit.


Relative energies, in meV/atom, with the most stable structure set to zero: i 0; ii 68.


i.
DyHfAg2 | PBE | relaxed

Structure (POSCAR):
```
DyHfAg2
1.0
-1.746 -2.777 0.962
2.549 -1.988 -1.111
3.191 0.326 6.735
Ag Hf Dy
2 1 1
direct
0.000 0.000 0.228
0.000 0.000 0.772
0.500 0.500 0.000
0.500 0.500 0.500
```

Output
Its crystal system is tetragonal. As for the space group: P4/mmm (123). For the spin magnetization, the calculation gives 0.51 μB per formula unit.


ii.
DyHfAg2 | PBE | relaxed

Structure (POSCAR):
```
DyHfAg2
1.0
-2.506 4.242 -0.724
-4.605 0.515 1.826
-0.833 3.083 3.821
Ag Hf Dy
2 1 1
direct
0.750 0.750 0.750
0.250 0.250 0.250
0.500 0.500 0.500
0.000 0.000 0.000
```

Output
Its crystal system is cubic. As for the space group: Fm-3m (225). For the spin magnetization, the calculation gives 0.93 μB per formula unit.


Relative energies, in meV/atom, with the most stable structure set to zero: i 0; ii 39.


i.
DyAg3Hg3 | PBE | relaxed

Structure (POSCAR):
```
DyAg3Hg3
1.0
-4.716 -0.582 -5.884
-4.362 -4.740 3.964
-3.993 5.865 2.620
Ag Hg Dy
6 6 2
direct
0.250 0.500 0.000
0.500 0.000 0.250
0.000 0.750 0.500
0.000 0.250 0.500
0.750 0.500 0.000
0.500 0.000 0.750
0.750 0.000 0.500
0.000 0.500 0.250
0.500 0.250 0.000
0.500 0.750 0.000
0.250 0.000 0.500
0.000 0.500 0.750
0.000 0.000 0.000
0.500 0.500 0.500
```

Output
Its crystal system is cubic. As for the space group: Pm-3n (223). For the spin magnetization, the calculation gives 0.00 μB per formula unit.


ii.
DyAg3Hg3 | PBE | relaxed

Structure (POSCAR):
```
DyAg3Hg3
1.0
7.562 0.000 0.000
3.781 6.549 0.000
3.781 2.183 6.410
Ag Hg Dy
6 6 2
direct
0.466 0.287 0.361
0.113 0.534 0.639
0.287 0.887 0.361
0.713 0.113 0.639
0.534 0.713 0.639
0.887 0.466 0.361
0.063 0.823 0.807
0.307 0.063 0.807
0.823 0.307 0.807
0.693 0.937 0.193
0.937 0.177 0.193
0.177 0.693 0.193
0.337 0.337 0.988
0.663 0.663 0.012
```

Output
Its crystal system is trigonal. As for the space group: R-3 (148). For the spin magnetization, the calculation gives 0.00 μB per formula unit.


Relative energies, in meV/atom, with the most stable structure set to zero: i 595; ii 0.


i.
Dy6Ag2Hg | PBE | relaxed

Structure (POSCAR):
```
Dy6Ag2Hg
1.0
5.030 0.000 -0.187
0.000 7.165 0.000
-2.223 -3.582 7.643
Dy Ag Hg
6 2 1
direct
0.832 0.580 0.663
0.832 0.083 0.663
0.500 0.746 0.000
0.168 0.420 0.337
0.168 0.917 0.337
0.500 0.254 0.000
0.333 0.333 0.666
0.667 0.667 0.334
0.000 0.000 0.000
```

Output
Its crystal system is monoclinic. As for the space group: C2/m (12). For the spin magnetization, the calculation gives 0.00 μB per formula unit.


ii.
Dy6Ag2Hg | PBE | relaxed

Structure (POSCAR):
```
Dy6Ag2Hg
1.0
1.065 8.407 1.689
0.063 -1.143 -8.564
-7.538 -2.880 3.088
Dy Hg Ag
12 2 4
direct
0.092 0.270 0.822
0.802 0.752 0.554
0.720 0.045 0.325
0.280 0.605 0.325
0.198 0.248 0.446
0.720 0.395 0.675
0.802 0.248 0.050
0.198 0.752 0.950
0.908 0.730 0.178
0.448 0.270 0.178
0.280 0.955 0.675
0.552 0.730 0.822
0.000 0.000 0.000
0.000 0.500 0.500
0.500 0.365 0.865
0.500 0.635 0.135
0.645 0.000 0.645
0.355 0.000 0.355
```

Output
Its crystal system is orthorhombic. As for the space group: Immm (71). For the spin magnetization, the calculation gives 0.00 μB per formula unit.


Relative energies, in meV/atom, with the most stable structure set to zero: i 206; ii 0.